Below is an optimized crystal structure of Na2CoGeO4, with properties calculated at the GGA+U level.

Values from the calculation:
Energy above the most stable polymorph in this dataset in eV per atom: 0.0000
Calculated density in Mg/m³: 3.8
Calculated total energy in eV per atom: -5.637

abc: 5.3002 5.5915 8.8981
angles: 90.00 126.50 90.00
Fractional positions:
Na: 0.0000 0.1794 0.0000
Na: 0.0000 0.8206 0.5000
Na: 0.2518 0.3205 0.7567
Na: 0.2518 0.6795 0.2567
Co: 0.5163 0.1855 0.5079
Co: 0.5163 0.8145 0.0079
Ge: 0.7681 0.3154 0.2540
Ge: 0.7681 0.6846 0.7540
O: 0.1236 0.2932 0.2768
O: 0.1236 0.7068 0.7768
O: 0.4740 0.1563 0.0493
O: 0.4740 0.8437 0.5493
O: 0.6575 0.3784 0.7300
O: 0.6575 0.6216 0.2300
O: 0.8389 0.2041 0.4619
O: 0.8389 0.7959 0.9619

---

Below is an optimized crystal structure of Na2CoGeO4, with properties calculated at the GGA+U level.

Values from the calculation:
Energy above the most stable polymorph in this dataset in eV per atom: 0.0421
Calculated density in Mg/m³: 3.8
Calculated total energy in eV per atom: -5.595

abc: 6.5573 5.9367 5.3653
angles: 90.00 90.00 90.00
Fractional positions:
Na: 0.2504 0.1660 0.0000
Na: 0.2496 0.8340 0.5000
Na: 0.7496 0.1660 0.0000
Na: 0.7504 0.8340 0.5000
Co: 0.0000 0.3435 0.5027
Co: 0.5000 0.6565 0.0027
Ge: 0.0000 0.6525 0.0062
Ge: 0.5000 0.3475 0.5062
O: 0.0000 0.3837 0.8670
O: 0.0000 0.6329 0.3347
O: 0.2274 0.8007 0.9213
O: 0.2726 0.1993 0.4213
O: 0.5000 0.3671 0.8347
O: 0.5000 0.6163 0.3670
O: 0.7274 0.1993 0.4213
O: 0.7726 0.8007 0.9213